(1)
The following is a PBE-GGA calculation of a relaxed Dy5Mg crystal, from the Alexandria database.

Output
calculated formation energy: 12 meV/atom
crystal system: trigonal
VASP energy: -24.53 eV/f.u.
relative energy among the computed polymorphs: 25 meV per atom

Cell and atoms, written as CIF:
```
data_Dy5Mg
_chemical_formula_sum 'Dy15 Mg3'
_space_group_name_H-M_alt 'R 3 2'
_space_group_IT_number 155
_space_group_name_Hall 'R 3 2"'
_cell_length_a 6.1332
_cell_length_b 6.1332
_cell_length_c 16.6879
_cell_angle_alpha 90.00
_cell_angle_beta 90.00
_cell_angle_gamma 120.00
loop_
_atom_site_label
_atom_site_fract_x
_atom_site_fract_y
_atom_site_fract_z
_atom_site_occupancy
Dy1 0.0000 0.0000 0.1673 1
Dy2 0.0000 0.6598 0.0000 1
Mg1 0.0000 0.0000 0.5000 1
```

***

(2)
The following is a PBE-GGA calculation of a relaxed DyMg5 crystal, from the Alexandria database.

Output
calculated formation energy: -13 meV/atom
crystal system: monoclinic
VASP energy: -12.65 eV/f.u.

Cell and atoms, written as CIF:
```
data_DyMg5
_chemical_formula_sum 'Dy2 Mg10'
_space_group_name_H-M_alt 'C 1 2/m 1'
_space_group_IT_number 12
_space_group_name_Hall '-C 2y'
_cell_length_a 11.7070
_cell_length_b 3.8199
_cell_length_c 6.9454
_cell_angle_alpha 90.00
_cell_angle_beta 107.58
_cell_angle_gamma 90.00
loop_
_atom_site_label
_atom_site_fract_x
_atom_site_fract_y
_atom_site_fract_z
_atom_site_occupancy
Dy1 0.0000 0.0000 0.0000 1
Mg1 0.0000 0.0000 0.5000 1
Mg2 0.1728 0.5000 0.3443 1
Mg3 0.1742 0.5000 0.8276 1
```

***

(3)
The following is a PBE-GGA calculation of a relaxed DyMg11 crystal, from the Alexandria database.

Output
calculated formation energy: 35 meV/atom
crystal system: tetragonal
VASP energy: -21.72 eV/f.u.

Cell and atoms, written as CIF:
```
data_DyMg11
_chemical_formula_sum 'Dy4 Mg44'
_space_group_name_H-M_alt 'I 41/a m d'
_space_group_IT_number 141
_cell_length_a 12.1184
_cell_length_b 12.1184
_cell_length_c 7.8751
_cell_angle_alpha 90.00
_cell_angle_beta 90.00
_cell_angle_gamma 90.00
loop_
_space_group_symop_operation_xyz
'x,y,z'
'-x,-y,-z'
'-y+1/4,x+3/4,z+1/4'
'y+1/4,-x+3/4,-z+1/4'
'-x+1/2,-y,z+1/2'
'x+1/2,y,-z+1/2'
'y+1/4,-x+1/4,z+3/4'
'-y+1/4,x+1/4,-z+3/4'
'x,-y,-z'
'-x,y,z'
'-y+1/4,-x+1/4,-z+3/4'
'y+1/4,x+1/4,z+3/4'
'-x+1/2,y,-z+1/2'
'x+1/2,-y,z+1/2'
'y+1/4,x+3/4,-z+1/4'
'-y+1/4,-x+3/4,z+1/4'
'x+1/2,y+1/2,z+1/2'
'-x+1/2,-y+1/2,-z+1/2'
'-y+3/4,x+1/4,z+3/4'
'y+3/4,-x+1/4,-z+3/4'
'-x,-y+1/2,z'
'x,y+1/2,-z'
'y+3/4,-x+3/4,z+1/4'
'-y+3/4,x+3/4,-z+1/4'
'x+1/2,-y+1/2,-z+1/2'
'-x+1/2,y+1/2,z+1/2'
'-y+3/4,-x+3/4,-z+1/4'
'y+3/4,x+3/4,z+1/4'
'-x,y+1/2,-z'
'x,-y+1/2,z'
'y+3/4,x+1/4,-z+3/4'
'-y+3/4,-x+1/4,z+3/4'
loop_
_atom_site_label
_atom_site_fract_x
_atom_site_fract_y
_atom_site_fract_z
_atom_site_occupancy
Dy1 0.0000 0.2500 0.3750 1
Mg1 0.0000 0.0000 0.0000 1
Mg2 0.0000 0.2500 0.8750 1
Mg3 0.1213 0.0456 0.6745 1
```

***

(4)
The following is a PBE-GGA calculation of a relaxed DyMg6 crystal, from the Alexandria database.

Output
calculated formation energy: 748 meV/atom
crystal system: cubic
VASP energy: -8.94 eV/f.u.
relative energy among the computed polymorphs: 739 meV per atom

Cell and atoms, written as CIF:
```
data_DyMg6
_chemical_formula_sum 'Dy2 Mg12'
_space_group_name_H-M_alt 'I m -3 m'
_space_group_IT_number 229
_space_group_name_Hall '-I 4 2 3'
_cell_length_a 7.6964
_cell_length_b 7.6964
_cell_length_c 7.6964
_cell_angle_alpha 90.00
_cell_angle_beta 90.00
_cell_angle_gamma 90.00
loop_
_atom_site_label
_atom_site_fract_x
_atom_site_fract_y
_atom_site_fract_z
_atom_site_occupancy
Dy1 0.0000 0.0000 0.0000 1
Mg1 0.0000 0.2500 0.5000 1
```

***

(5)
The following is a PBE-GGA calculation of a relaxed Dy2Mg7 crystal, from the Alexandria database.

Output
calculated formation energy: -7 meV/atom
crystal system: trigonal
VASP energy: -20.43 eV/f.u.

Cell and atoms, written as CIF:
```
data_Dy2Mg7
_chemical_formula_sum 'Dy12 Mg42'
_space_group_name_H-M_alt 'R -3 m'
_space_group_IT_number 166
_space_group_name_Hall '-R 3 2"'
_cell_length_a 6.0004
_cell_length_b 6.0004
_cell_length_c 43.9692
_cell_angle_alpha 90.00
_cell_angle_beta 90.00
_cell_angle_gamma 120.00
loop_
_atom_site_label
_atom_site_fract_x
_atom_site_fract_y
_atom_site_fract_z
_atom_site_occupancy
Dy1 0.0000 0.0000 0.0577 1
Dy2 0.0000 0.0000 0.1517 1
Mg1 0.0000 0.0000 0.2778 1
Mg2 0.0000 0.0000 0.3894 1
Mg3 0.0000 0.0000 0.5000 1
Mg4 0.0000 0.5000 0.0000 1
Mg5 0.0047 0.5023 0.8883 1
```

***

(6)
The following is a PBE-GGA calculation of a relaxed Dy2Mg crystal, from the Alexandria database.

Output
calculated formation energy: -39 meV/atom
crystal system: tetragonal
VASP energy: -10.91 eV/f.u.
relative energy among the computed polymorphs: 25 meV per atom

Cell and atoms, written as CIF:
```
data_Dy2Mg
_chemical_formula_sum 'Dy4 Mg2'
_space_group_name_H-M_alt 'P 4/m m m'
_space_group_IT_number 123
_space_group_name_Hall '-P 4 2'
_cell_length_a 3.6594
_cell_length_b 3.6594
_cell_length_c 12.8643
_cell_angle_alpha 90.00
_cell_angle_beta 90.00
_cell_angle_gamma 90.00
loop_
_atom_site_label
_atom_site_fract_x
_atom_site_fract_y
_atom_site_fract_z
_atom_site_occupancy
Dy1 0.0000 0.0000 0.0000 1
Dy2 0.0000 0.0000 0.3115 1
Dy3 0.5000 0.5000 0.5000 1
Mg1 0.5000 0.5000 0.1539 1
```

***

(7)
The following is a PBE-GGA calculation of a relaxed Dy5Mg crystal, from the Alexandria database.

Output
calculated formation energy: 11 meV/atom
crystal system: monoclinic
VASP energy: -24.54 eV/f.u.
relative energy among the computed polymorphs: 24 meV per atom

Cell and atoms, written as CIF:
```
data_Dy5Mg
_chemical_formula_sum 'Dy10 Mg2'
_space_group_name_H-M_alt 'C 1 m 1'
_space_group_IT_number 8
_space_group_name_Hall 'C -2y'
_cell_length_a 12.2398
_cell_length_b 3.7421
_cell_length_c 8.5519
_cell_angle_alpha 90.00
_cell_angle_beta 112.14
_cell_angle_gamma 90.00
loop_
_atom_site_label
_atom_site_fract_x
_atom_site_fract_y
_atom_site_fract_z
_atom_site_occupancy
Dy1 0.0000 0.0000 0.0000 1
Dy2 0.0223 0.0000 0.4572 1
Dy3 0.1814 0.5000 0.8363 1
Dy4 0.2048 0.5000 0.2963 1
Dy5 0.3526 0.0000 0.6481 1
Mg1 0.3514 0.0000 0.1468 1
```

***

(8)
The following is a PBE-GGA calculation of a relaxed Dy3Mg crystal, from the Alexandria database.

Output
calculated formation energy: 55 meV/atom
crystal system: cubic
VASP energy: -15.18 eV/f.u.

Cell and atoms, written as CIF:
```
data_Dy3Mg
_chemical_formula_sum 'Dy12 Mg4'
_space_group_name_H-M_alt 'F m -3 m'
_space_group_IT_number 225
_space_group_name_Hall '-F 4 2 3'
_cell_length_a 7.7660
_cell_length_b 7.7660
_cell_length_c 7.7660
_cell_angle_alpha 90.00
_cell_angle_beta 90.00
_cell_angle_gamma 90.00
loop_
_atom_site_label
_atom_site_fract_x
_atom_site_fract_y
_atom_site_fract_z
_atom_site_occupancy
Dy1 0.0000 0.0000 0.0000 1
Dy2 0.2500 0.2500 0.2500 1
Mg1 0.0000 0.0000 0.5000 1
```

***

(9)
The following is a PBE-GGA calculation of a relaxed Dy2Mg crystal, from the Alexandria database.

Output
calculated formation energy: -63 meV/atom
crystal system: orthorhombic
VASP energy: -10.99 eV/f.u.
relative energy among the computed polymorphs: 0 meV per atom

Cell and atoms, written as CIF:
```
data_Dy2Mg
_chemical_formula_sum 'Dy8 Mg4'
_space_group_name_H-M_alt 'C m c m'
_space_group_IT_number 63
_space_group_name_Hall '-C 2c 2'
_cell_length_a 3.6775
_cell_length_b 17.1738
_cell_length_c 5.4685
_cell_angle_alpha 90.00
_cell_angle_beta 90.00
_cell_angle_gamma 90.00
loop_
_atom_site_label
_atom_site_fract_x
_atom_site_fract_y
_atom_site_fract_z
_atom_site_occupancy
Dy1 0.0000 0.0932 0.2500 1
Dy2 0.0000 0.2264 0.7500 1
Mg1 0.0000 0.4346 0.2500 1
```

***

(10)
The following is a PBE-GGA calculation of a relaxed Dy2MgMn crystal, from the Alexandria database.

Output
calculated formation energy: 37 meV/atom
crystal system: tetragonal
VASP energy: -19.82 eV/f.u.
relative energy among the computed polymorphs: 0 meV per atom

Cell and atoms, written as CIF:
```
data_Dy2MgMn
_chemical_formula_sum 'Dy2 Mg1 Mn1'
_space_group_name_H-M_alt 'P 4/m m m'
_space_group_IT_number 123
_space_group_name_Hall '-P 4 2'
_cell_length_a 3.5117
_cell_length_b 3.5117
_cell_length_c 8.0389
_cell_angle_alpha 90.00
_cell_angle_beta 90.00
_cell_angle_gamma 90.00
loop_
_atom_site_label
_atom_site_fract_x
_atom_site_fract_y
_atom_site_fract_z
_atom_site_occupancy
Dy1 0.0000 0.0000 0.2159 1
Mg1 0.5000 0.5000 0.5000 1
Mn1 0.5000 0.5000 0.0000 1
```